1.
# CoRh5 (meta-GGA SCAN, PBEsol geometry)
# D(E_F)   6.97 states/eV/cell
# Calculated formation energy   0.16 eV/f.u.
# Spin magnetization   2.90 μB per formula unit
data_CoRh5
_space_group_name_H-M_alt 'P 4/m m m'
_space_group_IT_number 123
_space_group_name_Hall '-P 4 2'
_cell_length_a 2.6537
_cell_length_b 2.6537
_cell_length_c 11.0358
_cell_angle_alpha 90.00
_cell_angle_beta 90.00
_cell_angle_gamma 90.00
loop_
_atom_site_label
_atom_site_fract_x
_atom_site_fract_y
_atom_site_fract_z
Co1 0.0000 0.0000 0.0000
Rh1 0.0000 0.0000 0.3285
Rh2 0.5000 0.5000 0.1561
Rh3 0.5000 0.5000 0.5000

***

2.
# ZnSbPb2 (meta-GGA SCAN, PBEsol geometry)
# ΔE to the lowest computed polymorph   0.0 kJ/mol of formula units
# Uncorrected formation energy   0.150 eV/atom
# D(E_F)   1.60 states/eV/cell
# Spin magnetization   0.00 μB per formula unit
data_ZnSbPb2
_space_group_name_H-M_alt 'P 4 m m'
_space_group_IT_number 99
_cell_length_a 3.7688
_cell_length_b 3.7688
_cell_length_c 7.1957
_cell_angle_alpha 90.00
_cell_angle_beta 90.00
_cell_angle_gamma 90.00
loop_
_space_group_symop_operation_xyz
'x,y,z'
'-y,x,z'
'-x,-y,z'
'y,-x,z'
'-x,y,z'
'y,x,z'
'x,-y,z'
'-y,-x,z'
loop_
_atom_site_label
_atom_site_fract_x
_atom_site_fract_y
_atom_site_fract_z
Zn1 0.0000 0.0000 0.0000
Sb1 0.5000 0.5000 0.8092
Pb1 0.0000 0.0000 0.5515
Pb2 0.5000 0.5000 0.2373

***

3.
# SiTc3Cl (meta-GGA SCAN, PBEsol geometry)
# Uncorrected formation energy   1.326 eV/atom
# D(E_F)   3.97 states/eV/cell
# Spin magnetization   1.26 μB per formula unit
data_SiTc3Cl
_space_group_name_H-M_alt 'P m -3 m'
_space_group_IT_number 221
_space_group_name_Hall '-P 4 2 3'
_cell_length_a 4.2581
_cell_length_b 4.2581
_cell_length_c 4.2581
_cell_angle_alpha 90.00
_cell_angle_beta 90.00
_cell_angle_gamma 90.00
loop_
_atom_site_label
_atom_site_fract_x
_atom_site_fract_y
_atom_site_fract_z
Si1 0.0000 0.0000 0.0000
Tc1 0.0000 0.5000 0.5000
Cl1 0.5000 0.5000 0.5000

***

4.
# InPPd2 (meta-GGA SCAN, PBEsol geometry)
# D(E_F)   6.23 states/eV/cell
# Calculated formation energy   -0.56 eV/f.u.
# Spin magnetization   0.00 μB per formula unit
data_InPPd2
_space_group_name_H-M_alt 'F m -3 m'
_space_group_IT_number 225
_space_group_name_Hall '-F 4 2 3'
_cell_length_a 6.3111
_cell_length_b 6.3111
_cell_length_c 6.3111
_cell_angle_alpha 90.00
_cell_angle_beta 90.00
_cell_angle_gamma 90.00
loop_
_atom_site_label
_atom_site_fract_x
_atom_site_fract_y
_atom_site_fract_z
In1 0.0000 0.0000 0.0000
P1 0.0000 0.0000 0.5000
Pd1 0.2500 0.2500 0.2500

***

5.
# ReMoIr (meta-GGA SCAN, PBEsol geometry)
# ΔE to the lowest computed polymorph   30.1 kJ/mol of formula units
# D(E_F)   3.40 states/eV/cell
# Calculated formation energy   0.05 eV/f.u.
# Spin magnetization   0.00 μB per formula unit
data_ReMoIr
_space_group_name_H-M_alt 'P 3 m 1'
_space_group_IT_number 156
_cell_length_a 2.7246
_cell_length_b 2.7246
_cell_length_c 6.8340
_cell_angle_alpha 90.00
_cell_angle_beta 90.00
_cell_angle_gamma 120.00
loop_
_space_group_symop_operation_xyz
'x,y,z'
'-y,x-y,z'
'-x+y,-x,z'
'-y,-x,z'
'-x+y,y,z'
'x,x-y,z'
loop_
_atom_site_label
_atom_site_fract_x
_atom_site_fract_y
_atom_site_fract_z
Re1 0.0000 0.0000 0.0000
Mo1 0.3333 0.6667 0.3426
Ir1 0.6667 0.3333 0.6725

***

6.
# KLa2Pb (meta-GGA SCAN, PBEsol geometry)
# D(E_F)   4.12 states/eV/cell
# Calculated formation energy   -0.92 eV/f.u.
# Spin magnetization   1.98 μB per formula unit
data_KLa2Pb
_space_group_name_H-M_alt 'P m m m'
_space_group_IT_number 47
_cell_length_a 3.5704
_cell_length_b 4.3443
_cell_length_c 10.1697
_cell_angle_alpha 90.00
_cell_angle_beta 90.00
_cell_angle_gamma 90.00
loop_
_space_group_symop_operation_xyz
'x,y,z'
'-x,-y,-z'
'-x,-y,z'
'x,y,-z'
'x,-y,-z'
'-x,y,z'
'-x,y,-z'
'x,-y,z'
loop_
_atom_site_label
_atom_site_fract_x
_atom_site_fract_y
_atom_site_fract_z
K1 0.0000 0.0000 0.0000
La1 0.5000 0.5000 0.3222
Pb1 0.0000 0.0000 0.5000